Below is crystalline MgZr2P at its relaxed geometry, with properties calculated at the PBE level.

Cell: 8.1558 8.1558 8.1558 Å, 25.39 25.39 25.39°
Sites, in units of the cell vectors:
Mg 0.2500 0.2500 0.2500
P 0.7500 0.7500 0.7500
Zr 0.0206 0.0206 0.0206
Zr 0.4794 0.4794 0.4794

V: 87.8 Å³/f.u.
Energy above the lowest structure with this stoichiometry: 0.000 eV/atom
E_tot: -6.66 eV/atom